(1)
# Sr12Ni3N5 PBE optimized geometry
data_Sr12Ni3N5
_cell_length_a 16.481
_cell_length_b 16.481
_cell_length_c 16.481
_cell_angle_alpha 90.00
_cell_angle_beta 90.00
_cell_angle_gamma 90.00
_space_group_name_H-M_alt 'I a -3 d'
_space_group_IT_number 230
_space_group_name_Hall '-I 4bd 2c 3'
loop_
_atom_site_label
_atom_site_type_symbol
_atom_site_fract_x
_atom_site_fract_y
_atom_site_fract_z
Sr1 Sr 0.030 0.051 0.651
Ni1 Ni 0.000 0.250 0.125
N1 N 0.000 0.000 0.000
N2 N 0.000 0.250 0.375
# **V**: 27.98 Å³ per atom
# **Formation energy without anion corrections**: -0.21 eV/atom
# **DOS at the Fermi energy**: 0.4336 states/eV per atom

(2)
# SrNi5N4 PBE optimized geometry
data_SrNi5N4
_cell_length_a 5.558
_cell_length_b 8.468
_cell_length_c 5.201
_cell_angle_alpha 90.00
_cell_angle_beta 90.00
_cell_angle_gamma 90.00
_space_group_name_H-M_alt 'P m m n'
_space_group_IT_number 59
loop_
_space_group_symop_operation_xyz
'x,y,z'
'-x,-y,-z'
'-x+1/2,-y+1/2,z'
'x+1/2,y+1/2,-z'
'x+1/2,-y,-z'
'-x+1/2,y,z'
'-x,y+1/2,-z'
'x,-y+1/2,z'
loop_
_atom_site_label
_atom_site_type_symbol
_atom_site_fract_x
_atom_site_fract_y
_atom_site_fract_z
Sr1 Sr 0.250 0.250 0.151
Ni1 Ni 0.018 0.595 0.342
Ni2 Ni 0.250 0.750 0.700
N1 N 0.130 0.750 0.099
N2 N 0.250 0.534 0.624
# **V**: 12.24 Å³ per atom
# **Formation energy without anion corrections**: 0.08 eV/atom
# **DOS at the Fermi energy**: 0.4703 states/eV per atom

(3)
# Sr3NiN3 PBE optimized geometry
data_Sr3NiN3
_cell_length_a 7.5357
_cell_length_b 7.5357
_cell_length_c 5.3686
_cell_angle_alpha 90.00
_cell_angle_beta 90.00
_cell_angle_gamma 120.00
_space_group_name_H-M_alt 'P 63/m'
_space_group_IT_number 176
_space_group_name_Hall '-P 6c'
loop_
_atom_site_label
_atom_site_type_symbol
_atom_site_fract_x
_atom_site_fract_y
_atom_site_fract_z
Sr1 Sr 0.0837 0.3633 0.2500
Ni1 Ni 0.3333 0.6667 0.7500
N1 N 0.1091 0.4157 0.7500
# **V**: 18.86 Å³ per atom
# **Formation energy without anion corrections**: -0.43 eV/atom
# **DOS at the Fermi energy**: 0.8872 states/eV per atom

(4)
# SrNiN2 PBE optimized geometry
data_SrNiN2
_cell_length_a 5.846
_cell_length_b 5.846
_cell_length_c 5.846
_cell_angle_alpha 90.00
_cell_angle_beta 90.00
_cell_angle_gamma 90.00
_space_group_name_H-M_alt 'F m -3 m'
_space_group_IT_number 225
_space_group_name_Hall '-F 4 2 3'
loop_
_atom_site_label
_atom_site_type_symbol
_atom_site_fract_x
_atom_site_fract_y
_atom_site_fract_z
Sr1 Sr 0.000 0.000 0.000
Ni1 Ni 0.000 0.000 0.500
N1 N 0.250 0.250 0.250
# **V**: 12.49 Å³ per atom
# **Formation energy without anion corrections**: 0.95 eV/atom
# **DOS at the Fermi energy**: 0.7663 states/eV per atom

(5)
# SrNiN2 PBE optimized geometry
data_SrNiN2
_cell_length_a 5.778
_cell_length_b 5.778
_cell_length_c 6.485
_cell_angle_alpha 90.00
_cell_angle_beta 90.00
_cell_angle_gamma 90.00
_space_group_name_H-M_alt 'I -4 2 d'
_space_group_IT_number 122
_space_group_name_Hall 'I -4 2bw'
loop_
_atom_site_label
_atom_site_type_symbol
_atom_site_fract_x
_atom_site_fract_y
_atom_site_fract_z
Sr1 Sr 0.000 0.000 0.000
Ni1 Ni 0.000 0.000 0.500
N1 N 0.139 0.250 0.625
# **V**: 13.53 Å³ per atom
# **Formation energy without anion corrections**: -0.01 eV/atom
# **DOS at the Fermi energy**: 0.0049 states/eV per atom

(6)
# Sr8NiN2 PBE optimized geometry
data_Sr8NiN2
_cell_length_a 13.876
_cell_length_b 9.581
_cell_length_c 6.942
_cell_angle_alpha 90.00
_cell_angle_beta 90.67
_cell_angle_gamma 90.00
_space_group_name_H-M_alt 'C 1 2/m 1'
_space_group_IT_number 12
_space_group_name_Hall '-C 2y'
loop_
_atom_site_label
_atom_site_type_symbol
_atom_site_fract_x
_atom_site_fract_y
_atom_site_fract_z
Sr1 Sr 0.111 0.194 0.257
Sr2 Sr 0.143 0.500 0.766
Sr3 Sr 0.168 0.000 0.785
Ni1 Ni 0.000 0.000 0.500
N1 N 0.197 0.000 0.124
# **V**: 41.95 Å³ per atom
# **Formation energy without anion corrections**: -0.20 eV/atom
# **DOS at the Fermi energy**: 0.5964 states/eV per atom

(7)
# SrTa2NiN4 PBE optimized geometry
data_SrTa2NiN4
_cell_length_a 3.201
_cell_length_b 10.837
_cell_length_c 10.951
_cell_angle_alpha 90.00
_cell_angle_beta 90.00
_cell_angle_gamma 90.00
_space_group_name_H-M_alt 'C m c m'
_space_group_IT_number 63
_space_group_name_Hall '-C 2c 2'
loop_
_atom_site_label
_atom_site_type_symbol
_atom_site_fract_x
_atom_site_fract_y
_atom_site_fract_z
Sr1 Sr 0.000 0.108 0.250
Ta1 Ta 0.000 0.368 0.062
Ni1 Ni 0.000 0.163 0.750
N1 N 0.000 0.000 0.000
N2 N 0.000 0.262 0.601
N3 N 0.000 0.437 0.250
# **V**: 11.87 Å³ per atom
# **Formation energy without anion corrections**: -0.85 eV/atom
# **DOS at the Fermi energy**: 0.3240 states/eV per atom

(8)
# Sr2NiTeN PBE optimized geometry
data_Sr2NiTeN
_cell_length_a 5.525
_cell_length_b 5.525
_cell_length_c 3.737
_cell_angle_alpha 90.00
_cell_angle_beta 90.00
_cell_angle_gamma 90.00
_space_group_name_H-M_alt 'P 4/m m m'
_space_group_IT_number 123
_space_group_name_Hall '-P 4 2'
loop_
_atom_site_label
_atom_site_type_symbol
_atom_site_fract_x
_atom_site_fract_y
_atom_site_fract_z
Sr1 Sr 0.000 0.500 0.000
Ni1 Ni 0.000 0.000 0.500
Te1 Te 0.500 0.500 0.500
N1 N 0.000 0.000 0.000
# **V**: 22.81 Å³ per atom
# **Formation energy without anion corrections**: -0.88 eV/atom
# **DOS at the Fermi energy**: 0.3087 states/eV per atom

- Look up the V of the fifth one.
  13.53 Å³ per atom

- The highest V belongs to which entry?
  Sr8NiN2

- formation energy without anion corrections of number 8 (Sr2NiTeN)?
  -0.88 eV/atom

- The lowest formation energy without anion corrections belongs to which entry?
  Sr2NiTeN